Record 1
A plane-wave DFT calculation with PBE was carried out for a relaxed structure of NbBi2PtC.

```
data_NbBi2PtC
_chemical_formula_sum 'Nb1 Bi2 Pt1 C1'
_cell_length_a 5.3878
_cell_length_b 5.3878
_cell_length_c 5.0617
_cell_angle_alpha 90.00
_cell_angle_beta 90.00
_cell_angle_gamma 90.00
_symmetry_space_group_name_H-M 'P 4/m m m'
_symmetry_Int_Tables_number 123
_symmetry_space_group_name_Hall '-P 4 2'
loop_
_atom_site_label
_atom_site_type_symbol
_atom_site_fract_x
_atom_site_fract_y
_atom_site_fract_z
Nb1 Nb 0.0000 0.0000 0.0000
Bi1 Bi 0.0000 0.5000 0.5000
Pt1 Pt 0.0000 0.0000 0.5000
C1 C 0.5000 0.5000 0.0000
```

**Crystal system**: tetragonal
**E_form**: 10.13 eV/f.u.


Record 2
A plane-wave DFT calculation with PBE was carried out for a relaxed structure of NbBiRuC2.

```
data_NbBiRuC2
_chemical_formula_sum 'Nb1 Bi1 Ru1 C2'
_cell_length_a 4.1202
_cell_length_b 4.1202
_cell_length_c 5.8327
_cell_angle_alpha 90.00
_cell_angle_beta 90.00
_cell_angle_gamma 90.00
_symmetry_space_group_name_H-M 'P 4/m m m'
_symmetry_Int_Tables_number 123
_symmetry_space_group_name_Hall '-P 4 2'
loop_
_atom_site_label
_atom_site_type_symbol
_atom_site_fract_x
_atom_site_fract_y
_atom_site_fract_z
Nb1 Nb 0.0000 0.0000 0.0000
Bi1 Bi 0.0000 0.0000 0.5000
Ru1 Ru 0.5000 0.5000 0.5000
C1 C 0.0000 0.5000 0.0000
```

**Crystal system**: tetragonal
**E_form**: 9.74 eV/f.u.


Record 3
A plane-wave DFT calculation with PBE was carried out for a relaxed structure of NbBiSb2C.

```
data_NbBiSb2C
_chemical_formula_sum 'Nb1 Bi1 Sb2 C1'
_cell_length_a 5.1086
_cell_length_b 5.1086
_cell_length_c 4.2969
_cell_angle_alpha 90.00
_cell_angle_beta 90.00
_cell_angle_gamma 90.00
_symmetry_space_group_name_H-M 'P 4/m m m'
_symmetry_Int_Tables_number 123
_symmetry_space_group_name_Hall '-P 4 2'
loop_
_atom_site_label
_atom_site_type_symbol
_atom_site_fract_x
_atom_site_fract_y
_atom_site_fract_z
Nb1 Nb 0.0000 0.0000 0.0000
Bi1 Bi 0.5000 0.5000 0.0000
Sb1 Sb 0.0000 0.5000 0.5000
C1 C 0.0000 0.0000 0.5000
```

**Crystal system**: tetragonal
**VASP energy**: -5.55 eV/atom


Record 4
A plane-wave DFT calculation with PBE was carried out for a relaxed structure of Sc2NbBiC.

```
data_Sc2NbBiC
_chemical_formula_sum 'Sc2 Nb1 Bi1 C1'
_cell_length_a 4.6526
_cell_length_b 4.6526
_cell_length_c 4.2866
_cell_angle_alpha 90.00
_cell_angle_beta 90.00
_cell_angle_gamma 90.00
_symmetry_space_group_name_H-M 'P 4/m m m'
_symmetry_Int_Tables_number 123
_symmetry_space_group_name_Hall '-P 4 2'
loop_
_atom_site_label
_atom_site_type_symbol
_atom_site_fract_x
_atom_site_fract_y
_atom_site_fract_z
Sc1 Sc 0.0000 0.5000 0.0000
Nb1 Nb 0.0000 0.0000 0.5000
Bi1 Bi 0.5000 0.5000 0.5000
C1 C 0.0000 0.0000 0.0000
```

**Crystal system**: tetragonal
**E_form**: -2.01 eV/f.u.


Record 5
A plane-wave DFT calculation with PBE was carried out for a relaxed structure of NbSnBiC2.

```
data_NbSnBiC2
_chemical_formula_sum 'Nb1 Sn1 Bi1 C2'
_cell_length_a 4.2409
_cell_length_b 4.2409
_cell_length_c 6.0736
_cell_angle_alpha 90.00
_cell_angle_beta 90.00
_cell_angle_gamma 90.00
_symmetry_space_group_name_H-M 'P 4/m m m'
_symmetry_Int_Tables_number 123
_symmetry_space_group_name_Hall '-P 4 2'
loop_
_atom_site_label
_atom_site_type_symbol
_atom_site_fract_x
_atom_site_fract_y
_atom_site_fract_z
Nb1 Nb 0.0000 0.0000 0.0000
Sn1 Sn 0.5000 0.5000 0.5000
Bi1 Bi 0.5000 0.5000 0.0000
C1 C 0.0000 0.5000 0.5000
```

**Crystal system**: tetragonal
**E_form**: 12.21 eV/f.u.


Record 6
A plane-wave DFT calculation with PBE was carried out for a relaxed structure of YNbBi2C.

```
data_YNbBi2C
_chemical_formula_sum 'Y1 Nb1 Bi2 C1'
_cell_length_a 5.6705
_cell_length_b 5.6705
_cell_length_c 4.0615
_cell_angle_alpha 90.00
_cell_angle_beta 90.00
_cell_angle_gamma 90.00
_symmetry_space_group_name_H-M 'P 4/m m m'
_symmetry_Int_Tables_number 123
_symmetry_space_group_name_Hall '-P 4 2'
loop_
_atom_site_label
_atom_site_type_symbol
_atom_site_fract_x
_atom_site_fract_y
_atom_site_fract_z
Y1 Y 0.0000 0.0000 0.0000
Nb1 Nb 0.5000 0.5000 0.5000
Bi1 Bi 0.0000 0.5000 0.5000
C1 C 0.5000 0.5000 0.0000
```

**Crystal system**: tetragonal
**E_form**: 2.67 eV/f.u.


Record 7
A plane-wave DFT calculation with PBE was carried out for a relaxed structure of Nd2BiC2.

```
data_Nd2BiC2
_chemical_formula_sum 'Nd8 Bi4 C8'
_cell_length_a 15.1108
_cell_length_b 4.7076
_cell_length_c 6.4917
_cell_angle_alpha 90.00
_cell_angle_beta 90.35
_cell_angle_gamma 90.00
_symmetry_space_group_name_H-M 'C 1 2/c 1'
_symmetry_Int_Tables_number 15
loop_
_symmetry_equiv_pos_as_xyz
'x,y,z'
'-x,-y,-z'
'-x,y,-z+1/2'
'x,-y,z+1/2'
'x+1/2,y+1/2,z'
'-x+1/2,-y+1/2,-z'
'-x+1/2,y+1/2,-z+1/2'
'x+1/2,-y+1/2,z+1/2'
loop_
_atom_site_label
_atom_site_type_symbol
_atom_site_fract_x
_atom_site_fract_y
_atom_site_fract_z
Nd1 Nd 0.1530 0.2273 0.3143
Bi1 Bi 0.0000 0.2772 0.7500
C1 C 0.2373 0.3810 0.9779
```

**Crystal system**: monoclinic
**E_form**: -1.99 eV/f.u.


Record 8
A plane-wave DFT calculation with PBE was carried out for a relaxed structure of Nd3Bi2C.

```
data_Nd3Bi2C
_chemical_formula_sum 'Nd12 Bi8 C4'
_cell_length_a 14.8908
_cell_length_b 6.5992
_cell_length_c 7.4490
_cell_angle_alpha 90.00
_cell_angle_beta 104.15
_cell_angle_gamma 90.00
_symmetry_space_group_name_H-M 'C 1 2/c 1'
_symmetry_Int_Tables_number 15
loop_
_symmetry_equiv_pos_as_xyz
'x,y,z'
'-x,-y,-z'
'-x,y,-z+1/2'
'x,-y,z+1/2'
'x+1/2,y+1/2,z'
'-x+1/2,-y+1/2,-z'
'-x+1/2,y+1/2,-z+1/2'
'x+1/2,-y+1/2,z+1/2'
loop_
_atom_site_label
_atom_site_type_symbol
_atom_site_fract_x
_atom_site_fract_y
_atom_site_fract_z
Nd1 Nd 0.0000 0.0737 0.2500
Nd2 Nd 0.1211 0.4771 0.5747
Bi1 Bi 0.1811 0.0274 0.0816
C1 C 0.0000 0.4395 0.2500
```

**Crystal system**: monoclinic
**E_form**: -2.90 eV/f.u.


Record 9
A plane-wave DFT calculation with PBE was carried out for a relaxed structure of Nd3BiC.

```
data_Nd3BiC
_chemical_formula_sum 'Nd6 Bi2 C2'
_cell_length_a 5.0667
_cell_length_b 5.0050
_cell_length_c 11.7213
_cell_angle_alpha 90.00
_cell_angle_beta 102.42
_cell_angle_gamma 90.00
_symmetry_space_group_name_H-M 'P 1 21/m 1'
_symmetry_Int_Tables_number 11
loop_
_symmetry_equiv_pos_as_xyz
'x,y,z'
'-x,-y,-z'
'-x,y+1/2,-z'
'x,-y+1/2,z'
loop_
_atom_site_label
_atom_site_type_symbol
_atom_site_fract_x
_atom_site_fract_y
_atom_site_fract_z
Nd1 Nd 0.0566 0.2500 0.1136
Nd2 Nd 0.1808 0.7500 0.3634
Nd3 Nd 0.4319 0.2500 0.8631
Bi1 Bi 0.3308 0.7500 0.6590
C1 C 0.0759 0.7500 0.1528
```

**Crystal system**: monoclinic
**E_form**: -2.07 eV/f.u.
**Polymorph energy (0 for the lowest one)**: 28.1 meV/atom


Record 10
A plane-wave DFT calculation with PBE was carried out for a relaxed structure of Nd4BiC.

```
data_Nd4BiC
_chemical_formula_sum 'Nd8 Bi2 C2'
_cell_length_a 6.2834
_cell_length_b 7.5397
_cell_length_c 8.2181
_cell_angle_alpha 105.46
_cell_angle_beta 112.45
_cell_angle_gamma 90.04
_symmetry_space_group_name_H-M 'P -1'
_symmetry_Int_Tables_number 2
loop_
_symmetry_equiv_pos_as_xyz
'x,y,z'
'-x,-y,-z'
loop_
_atom_site_label
_atom_site_type_symbol
_atom_site_fract_x
_atom_site_fract_y
_atom_site_fract_z
Nd1 Nd 0.0097 0.4483 0.1944
Nd2 Nd 0.1841 0.9485 0.1949
Nd3 Nd 0.2464 0.8238 0.6234
Nd4 Nd 0.3767 0.3236 0.6233
Bi1 Bi 0.3797 0.2503 0.0003
C1 C 0.0000 0.5000 0.5000
C2 C 0.5000 0.0000 0.5000
```

**Crystal system**: triclinic
**E_form**: -1.72 eV/f.u.
**Polymorph energy (0 for the lowest one)**: 0.0 meV/atom


Record 11
A plane-wave DFT calculation with PBE was carried out for a relaxed structure of Nd4Bi2C.

```
data_Nd4Bi2C
_chemical_formula_sum 'Nd8 Bi4 C2'
_cell_length_a 12.8358
_cell_length_b 3.9662
_cell_length_c 8.7656
_cell_angle_alpha 90.00
_cell_angle_beta 114.42
_cell_angle_gamma 90.00
_symmetry_space_group_name_H-M 'C 1 2/m 1'
_symmetry_Int_Tables_number 12
loop_
_symmetry_equiv_pos_as_xyz
'x,y,z'
'-x,-y,-z'
'-x,y,-z'
'x,-y,z'
'x+1/2,y+1/2,z'
'-x+1/2,-y+1/2,-z'
'-x+1/2,y+1/2,-z'
'x+1/2,-y+1/2,z'
loop_
_atom_site_label
_atom_site_type_symbol
_atom_site_fract_x
_atom_site_fract_y
_atom_site_fract_z
Nd1 Nd 0.0597 0.0000 0.3194
Nd2 Nd 0.1425 0.5000 0.0477
Bi1 Bi 0.1583 0.5000 0.6739
C1 C 0.0000 0.0000 0.0000
```

**Crystal system**: monoclinic
**E_form**: -3.67 eV/f.u.
**Polymorph energy (0 for the lowest one)**: 63.2 meV/atom


Record 12
A plane-wave DFT calculation with PBE was carried out for a relaxed structure of Nd4BiC.

```
data_Nd4BiC
_chemical_formula_sum 'Nd16 Bi4 C4'
_cell_length_a 8.6755
_cell_length_b 12.0321
_cell_length_c 6.7171
_cell_angle_alpha 90.00
_cell_angle_beta 102.58
_cell_angle_gamma 90.00
_symmetry_space_group_name_H-M 'C 1 2/c 1'
_symmetry_Int_Tables_number 15
loop_
_symmetry_equiv_pos_as_xyz
'x,y,z'
'-x,-y,-z'
'-x,y,-z+1/2'
'x,-y,z+1/2'
'x+1/2,y+1/2,z'
'-x+1/2,-y+1/2,-z'
'-x+1/2,y+1/2,-z+1/2'
'x+1/2,-y+1/2,z+1/2'
loop_
_atom_site_label
_atom_site_type_symbol
_atom_site_fract_x
_atom_site_fract_y
_atom_site_fract_z
Nd1 Nd 0.1029 0.1336 0.0468
Nd2 Nd 0.1977 0.3943 0.3933
Bi1 Bi 0.0000 0.3633 0.7500
C1 C 0.0000 0.0104 0.7500
```

**Crystal system**: monoclinic
**E_form**: -1.20 eV/f.u.
**Polymorph energy (0 for the lowest one)**: 87.1 meV/atom